A relaxed Zr5Ir crystal, computed with PBE-GGA.

```
Zr5Ir
1.0
5.2752 0.0000 0.0000
-2.6376 4.5684 0.0000
0.0000 0.0000 5.2217
Zr Ir
5 1
Direct
0.0000 0.3145 0.0000
0.3145 0.0000 0.0000
0.3333 0.6667 0.5000
0.6667 0.3333 0.5000
0.6855 0.6855 0.0000
0.0000 0.0000 0.5000
```

Properties
volume = 20.97 Å³ per atom
crystal system = hexagonal
spin magnetization = 0.08 μB/cell
mass density = 8.6 g/cm3
formation enthalpy at 0 K = -0.5 eV/f.u.